Entry 1:
This record from the Alexandria database describes a geometry-optimized Ca2LaCd structure. The functional is GGA-PBE.

a = 7.0145 Å, b = 7.0145 Å, c = 7.0145 Å
α = 147.46°, β = 131.09°, γ = 59.98°
Closest atoms and distances in Å follow each position.
Fractional coordinates of all 4 atoms:
Ca (0.0039, 0.0039, 0.0000)  4 Cd 3.51, 2 La 3.87
Cd (0.4961, 0.4961, 0.0000)  6 Ca 3.22-3.51, 2 La 3.30
Ca (0.2861, 0.7861, 0.5000)  2 Cd 3.22
La (0.7140, 0.2140, 0.5000)  2 Cd 3.30, 4 Ca 3.61

Results
**ΔH_f (0 K)**: -0.09 eV/atom
**Space-group type**: Imm2, No. 44

=====

Entry 2:
This record from the Alexandria database describes a geometry-optimized Ca2LaCd structure. The functional is GGA-PBE.

a = 4.4449 Å, b = 5.4452 Å, c = 5.5779 Å
α = 90.00°, β = 90.00°, γ = 90.00°
Closest atoms and distances in Å follow each position.
Fractional coordinates of all 4 atoms:
La (0.0000, 0.5000, 0.5000)  4 Cd 3.51, 8 Ca 3.57-3.90
Cd (0.5000, 0.0000, 0.5000)  4 La 3.51, 8 Ca 3.57-3.90
Ca (0.0000, 0.0000, 0.0000)  4 Ca 3.51, 4 Cd 3.57, 4 La 3.90
Ca (0.5000, 0.5000, 0.0000)  4 Ca 3.51, 4 La 3.57, 4 Cd 3.90

Results
**ΔH_f (0 K)**: -0.10 eV/atom
**Space-group type**: Pmmm, No. 47

=====

Entry 3:
This record from the Alexandria database describes a geometry-optimized CaLa2Cd2 structure. The functional is GGA-PBE.

a = 9.4315 Å, b = 9.4315 Å, c = 3.5751 Å
α = 90.00°, β = 90.00°, γ = 90.00°
Closest atoms and distances in Å follow each position.
Fractional coordinates of all 10 atoms:
Ca (0.5000, 0.5000, 0.0000)  2 Ca 3.58, 4 La 3.77, 8 Cd 3.91
Cd (0.1766, 0.6766, 0.5000)  6 La 3.27-3.35, 2 Cd 3.58
La (0.6180, 0.1180, 0.0000)  1 La 3.15, 6 Cd 3.27-3.35
La (0.8820, 0.6180, 0.0000)  1 La 3.15, 6 Cd 3.27-3.35
Ca (0.0000, 0.0000, 0.0000)  2 Ca 3.58, 4 La 3.77, 8 Cd 3.91
Cd (0.6766, 0.8234, 0.5000)  6 La 3.27-3.35, 2 Cd 3.58
La (0.1180, 0.3820, 0.0000)  1 La 3.15, 6 Cd 3.27-3.35
La (0.3820, 0.8820, 0.0000)  1 La 3.15, 6 Cd 3.27-3.35
Cd (0.3234, 0.1766, 0.5000)  6 La 3.27-3.35, 2 Cd 3.58
Cd (0.8234, 0.3234, 0.5000)  6 La 3.27-3.35, 2 Cd 3.58

Results
**ΔH_f (0 K)**: -0.17 eV/atom
**Space-group type**: P4/mbm, No. 127

=====

Entry 4:
This record from the Alexandria database describes a geometry-optimized Ca2LaCd3 structure. The functional is GGA-PBE.

a = 5.4739 Å, b = 5.4739 Å, c = 6.7427 Å
α = 90.00°, β = 90.00°, γ = 120.00°
Closest atoms and distances in Å follow each position.
Fractional coordinates of all 6 atoms:
Cd (0.3333, 0.6667, 0.1658)  5 Ca 3.33-3.41, 3 La 3.35
Cd (0.6667, 0.3333, 0.8342)  5 Ca 3.33-3.41, 3 La 3.35
La (0.0000, 0.0000, 0.0000)  8 Cd 3.35-3.37
Cd (0.0000, 0.0000, 0.5000)  6 Ca 3.34, 2 La 3.37
Ca (0.3333, 0.6667, 0.6599)  8 Cd 3.33-3.41
Ca (0.6667, 0.3333, 0.3401)  8 Cd 3.33-3.41

Results
**ΔH_f (0 K)**: -0.37 eV/atom
**Space-group type**: P-3m1, No. 164

=====

> Which value of ΔH_f (0 K) does entry 2 give?

-0.10 eV/atom

=====

> Which of these has the lowest ΔH_f (0 K)?

Ca2LaCd3